Nb2ZnIr (PBE, relaxed); DFT formation energy = -0.317 eV/atom; final energy = -7.89 eV per atom; space group = P2/m (10)
1.0
2.864 0.000 0.000
0.000 4.070 0.000
-0.021 0.000 5.551
Nb Zn Ir
2 1 1
direct
0.000 0.000 0.245 Nb
0.000 0.000 0.755 Nb
0.500 0.500 0.500 Zn
0.500 0.500 0.000 Ir

NbZn4Ir (PBE, relaxed); DFT formation energy = -0.052 eV/atom; final energy = -4.06 eV per atom; space group = F-43m (216)
1.0
0.000 3.506 3.506
3.506 0.000 3.506
3.506 3.506 0.000
Nb Zn Ir
1 4 1
direct
0.000 0.000 0.000 Nb
0.375 0.375 0.375 Zn
0.375 0.375 0.876 Zn
0.375 0.876 0.375 Zn
0.876 0.375 0.375 Zn
0.750 0.750 0.750 Ir

NbZnIr (PBE, relaxed); DFT formation energy = -0.350 eV/atom; final energy = -7.09 eV per atom; space group = P-6m2 (187)
1.0
4.371 0.000 0.000
-2.186 3.785 0.000
0.000 0.000 2.823
Nb Zn Ir
1 1 1
direct
0.000 0.000 0.000 Nb
0.333 0.667 0.500 Zn
0.667 0.333 0.500 Ir

Nb2ZnIr (PBE, relaxed); DFT formation energy = -0.268 eV/atom; final energy = -7.84 eV per atom; space group = P4/mmm (123)
1.0
4.002 0.000 0.000
0.000 4.002 0.000
0.000 0.000 4.032
Nb Zn Ir
2 1 1
direct
0.000 0.500 0.000 Nb
0.500 0.000 0.000 Nb
0.000 0.000 0.500 Zn
0.500 0.500 0.500 Ir

Nb3ZnIr (PBE, relaxed); DFT formation energy = 0.954 eV/atom; polymorph energy (0 for the lowest one) = 0 meV/atom; final energy = -7.12 eV per atom; space group = Pm-3m (221)
1.0
4.866 0.000 0.000
0.000 4.866 0.000
0.000 0.000 4.866
Nb Zn Ir
3 1 1
direct
0.000 0.000 0.500 Nb
0.000 0.500 0.000 Nb
0.500 0.000 0.000 Nb
0.500 0.500 0.500 Zn
0.000 0.000 0.000 Ir

Nb2ZnIr9 (PBE, relaxed); DFT formation energy = -0.397 eV/atom; final energy = -8.83 eV per atom; space group = P4/mmm (123)
1.0
3.922 0.000 0.000
0.000 3.922 0.000
0.000 0.000 11.675
Nb Zn Ir
2 1 9
direct
0.000 0.000 0.173 Nb
0.000 0.000 0.827 Nb
0.000 0.000 0.500 Zn
0.000 0.500 0.000 Ir
0.000 0.500 0.334 Ir
0.000 0.500 0.666 Ir
0.500 0.000 0.000 Ir
0.500 0.000 0.334 Ir
0.500 0.000 0.666 Ir
0.500 0.500 0.166 Ir
0.500 0.500 0.500 Ir
0.500 0.500 0.834 Ir

NbZnIr (PBE, relaxed); DFT formation energy = -0.162 eV/atom; final energy = -6.90 eV per atom; space group = R-3m (166)
1.0
2.170 1.253 6.392
-2.170 1.253 6.392
0.000 -2.505 6.392
Nb Zn Ir
2 2 2
direct
0.131 0.131 0.131 Nb
0.869 0.869 0.869 Nb
0.295 0.295 0.295 Zn
0.705 0.705 0.705 Zn
0.429 0.429 0.429 Ir
0.571 0.571 0.571 Ir

Nb4ZnIr5 (PBE, relaxed); DFT formation energy = -0.473 eV/atom; final energy = -9.06 eV per atom; space group = P4/mmm (123)
1.0
2.897 0.000 0.000
0.000 2.897 0.000
0.000 0.000 18.807
Nb Zn Ir
4 1 5
direct
0.000 0.000 0.103 Nb
0.000 0.000 0.310 Nb
0.000 0.000 0.690 Nb
0.000 0.000 0.897 Nb
0.000 0.000 0.500 Zn
0.500 0.500 0.000 Ir
0.500 0.500 0.206 Ir
0.500 0.500 0.408 Ir
0.500 0.500 0.592 Ir
0.500 0.500 0.794 Ir

Nb2ZnIr (PBE, relaxed); DFT formation energy = 0.205 eV/atom; final energy = -7.36 eV per atom; space group = I-42d (122)
1.0
7.431 0.000 0.000
0.000 7.431 0.000
0.000 0.000 5.275
Nb Zn Ir
8 4 4
direct
0.217 0.250 0.125 Nb
0.250 0.717 0.375 Nb
0.250 0.783 0.875 Nb
0.283 0.250 0.625 Nb
0.717 0.750 0.625 Nb
0.750 0.217 0.875 Nb
0.750 0.283 0.375 Nb
0.783 0.750 0.125 Nb
0.000 0.000 0.500 Zn
0.000 0.500 0.750 Zn
0.500 0.000 0.250 Zn
0.500 0.500 0.000 Zn
0.000 0.000 0.000 Ir
0.000 0.500 0.250 Ir
0.500 0.000 0.750 Ir
0.500 0.500 0.500 Ir

NbZnIr (PBE, relaxed); DFT formation energy = -0.291 eV/atom; final energy = -7.03 eV per atom; space group = P2_1/m (11)
1.0
2.827 0.000 0.000
0.000 4.157 0.000
-1.413 0.000 7.958
Nb Zn Ir
2 2 2
direct
0.125 0.250 0.250 Nb
0.875 0.750 0.750 Nb
0.460 0.250 0.921 Zn
0.540 0.750 0.079 Zn
0.295 0.250 0.588 Ir
0.705 0.750 0.412 Ir

Nb5ZnIr4 (PBE, relaxed); DFT formation energy = -0.414 eV/atom; final energy = -9.12 eV per atom; space group = P4/mmm (123)
1.0
2.881 0.000 0.000
0.000 2.881 0.000
0.000 0.000 19.573
Nb Zn Ir
5 1 4
direct
0.000 0.000 0.000 Nb
0.000 0.000 0.200 Nb
0.000 0.000 0.397 Nb
0.000 0.000 0.603 Nb
0.000 0.000 0.800 Nb
0.500 0.500 0.500 Zn
0.500 0.500 0.099 Ir
0.500 0.500 0.300 Ir
0.500 0.500 0.700 Ir
0.500 0.500 0.901 Ir

NbZn2Ir (PBE, relaxed); DFT formation energy = 0.286 eV/atom; final energy = -5.08 eV per atom; space group = I-42d (122)
1.0
7.154 0.000 0.000
0.000 7.154 0.000
0.000 0.000 5.216
Nb Zn Ir
4 8 4
direct
0.000 0.000 0.000 Nb
0.000 0.500 0.250 Nb
0.500 0.000 0.750 Nb
0.500 0.500 0.500 Nb
0.231 0.250 0.625 Zn
0.250 0.731 0.875 Zn
0.250 0.769 0.375 Zn
0.269 0.250 0.125 Zn
0.731 0.750 0.125 Zn
0.750 0.231 0.375 Zn
0.750 0.269 0.875 Zn
0.769 0.750 0.625 Zn
0.000 0.000 0.500 Ir
0.000 0.500 0.750 Ir
0.500 0.000 0.250 Ir
0.500 0.500 0.000 Ir

NbZn2Ir2 (PBE, relaxed); DFT formation energy = -0.091 eV/atom; polymorph energy (0 for the lowest one) = 211 meV/atom; final energy = -6.16 eV per atom; space group = P4/mbm (127)
1.0
7.156 0.000 0.000
0.000 7.156 0.000
0.000 0.000 3.022
Nb Zn Ir
2 4 4
direct
0.000 0.000 0.000 Nb
0.500 0.500 0.000 Nb
0.158 0.342 0.500 Zn
0.342 0.842 0.500 Zn
0.658 0.158 0.500 Zn
0.842 0.658 0.500 Zn
0.140 0.640 0.000 Ir
0.360 0.140 0.000 Ir
0.640 0.860 0.000 Ir
0.860 0.360 0.000 Ir

ZrNbIr6 (PBE, relaxed); DFT formation energy = -0.670 eV/atom; final energy = -9.64 eV per atom; space group = P4/mmm (123)
1.0
3.954 0.000 0.000
0.000 3.954 0.000
0.000 0.000 7.915
Zr Nb Ir
1 1 6
direct
0.000 0.000 0.000 Zr
0.000 0.000 0.500 Nb
0.000 0.500 0.257 Ir
0.000 0.500 0.743 Ir
0.500 0.000 0.257 Ir
0.500 0.000 0.743 Ir
0.500 0.500 0.000 Ir
0.500 0.500 0.500 Ir

ZrNbIr2 (PBE, relaxed); DFT formation energy = 0.430 eV/atom; polymorph energy (0 for the lowest one) = 1028 meV/atom; final energy = -8.65 eV per atom; space group = I-42d (122)
1.0
5.968 0.000 0.000
0.000 5.968 0.000
0.000 0.000 11.479
Zr Nb Ir
4 4 8
direct
0.000 0.000 0.000 Zr
0.000 0.500 0.250 Zr
0.500 0.000 0.750 Zr
0.500 0.500 0.500 Zr
0.000 0.000 0.500 Nb
0.000 0.500 0.750 Nb
0.500 0.000 0.250 Nb
0.500 0.500 0.000 Nb
0.233 0.250 0.625 Ir
0.250 0.733 0.875 Ir
0.250 0.767 0.375 Ir
0.267 0.250 0.125 Ir
0.733 0.750 0.125 Ir
0.750 0.233 0.375 Ir
0.750 0.267 0.875 Ir
0.767 0.750 0.625 Ir

ZrNb2Ir2 (PBE, relaxed); DFT formation energy = -0.371 eV/atom; polymorph energy (0 for the lowest one) = 48 meV/atom; final energy = -9.65 eV per atom; space group = P4/mbm (127)
1.0
7.850 0.000 0.000
0.000 7.850 0.000
0.000 0.000 2.895
Zr Nb Ir
2 4 4
direct
0.000 0.000 0.000 Zr
0.500 0.500 0.000 Zr
0.152 0.348 0.000 Nb
0.348 0.848 0.000 Nb
0.652 0.152 0.000 Nb
0.848 0.652 0.000 Nb
0.145 0.645 0.500 Ir
0.355 0.145 0.500 Ir
0.645 0.855 0.500 Ir
0.855 0.355 0.500 Ir

ZrNb3Ir (PBE, relaxed); DFT formation energy = 1.875 eV/atom; polymorph energy (0 for the lowest one) = 1105 meV/atom; final energy = -7.65 eV per atom; space group = Pm-3m (221)
1.0
4.790 0.000 0.000
0.000 4.790 0.000
0.000 0.000 4.790
Zr Nb Ir
1 3 1
direct
0.000 0.000 0.000 Zr
0.000 0.000 0.500 Nb
0.000 0.500 0.000 Nb
0.500 0.000 0.000 Nb
0.500 0.500 0.500 Ir

ZrNbIr2 (PBE, relaxed); DFT formation energy = -0.573 eV/atom; polymorph energy (0 for the lowest one) = 25 meV/atom; final energy = -9.66 eV per atom; space group = P4/mmm (123)
1.0
4.210 0.000 0.000
0.000 4.210 0.000
0.000 0.000 3.837
Zr Nb Ir
1 1 2
direct
0.000 0.000 0.000 Zr
0.500 0.500 0.000 Nb
0.000 0.500 0.500 Ir
0.500 0.000 0.500 Ir

Zr2NbIr (PBE, relaxed); DFT formation energy = -0.410 eV/atom; final energy = -9.42 eV per atom; space group = P4/mmm (123)
1.0
3.349 0.000 0.000
0.000 3.349 0.000
0.000 0.000 6.846
Zr Nb Ir
2 1 1
direct
0.000 0.000 0.237 Zr
0.000 0.000 0.763 Zr
0.500 0.500 0.500 Nb
0.500 0.500 0.000 Ir

Zr2NbIr (PBE, relaxed); DFT formation energy = 0.053 eV/atom; final energy = -8.95 eV per atom; space group = I-42d (122)
1.0
7.603 0.000 0.000
0.000 7.603 0.000
0.000 0.000 5.697
Zr Nb Ir
8 4 4
direct
0.222 0.250 0.125 Zr
0.250 0.722 0.375 Zr
0.250 0.778 0.875 Zr
0.278 0.250 0.625 Zr
0.722 0.750 0.625 Zr
0.750 0.222 0.875 Zr
0.750 0.278 0.375 Zr
0.778 0.750 0.125 Zr
0.000 0.000 0.500 Nb
0.000 0.500 0.750 Nb
0.500 0.000 0.250 Nb
0.500 0.500 0.000 Nb
0.000 0.000 0.000 Ir
0.000 0.500 0.250 Ir
0.500 0.000 0.750 Ir
0.500 0.500 0.500 Ir